1.
TmUPd14: relaxed, PBE.

Computed properties:
Electronic total energy ... -5.935 eV/atom
E_form ... -406 meV per atom
Fermi-level density of states ... 17.18 states/eV/f.u.

abc: 5.784 5.784 7.815
angles: 90.00 90.00 90.00
Fractional positions:
Tm: 0.375 0.375 0.500
U: 0.875 0.875 0.500
Pd: 0.875 0.875 0.000
Pd: 0.375 0.375 0.000
Pd: 0.875 0.375 0.500
Pd: 0.875 0.375 0.000
Pd: 0.375 0.875 0.500
Pd: 0.375 0.875 0.000
Pd: 0.629 0.121 0.249
Pd: 0.629 0.121 0.751
Pd: 0.121 0.629 0.249
Pd: 0.121 0.629 0.751
Pd: 0.629 0.629 0.249
Pd: 0.629 0.629 0.751
Pd: 0.121 0.121 0.249
Pd: 0.121 0.121 0.751

2.
Tm2UPd9: relaxed, PBE.

Computed properties:
Electronic total energy ... -6.401 eV/atom
E_form ... -821 meV per atom
Fermi-level density of states ... 9.60 states/eV/f.u.

abc: 4.105 4.105 12.300
angles: 90.00 90.00 90.00
Last column: magnetic moment on the atom in μB.
Fractional positions:
Tm: 0.000 0.000 0.338  0.00
Tm: 0.000 0.000 0.662  0.00
U: 0.000 0.000 0.000  1.54
Pd: 0.500 0.500 0.000  -0.05
Pd: 0.500 0.500 0.333  -0.01
Pd: 0.500 0.500 0.667  -0.01
Pd: 0.500 0.000 0.164  -0.03
Pd: 0.500 0.000 0.500  -0.01
Pd: 0.500 0.000 0.836  -0.03
Pd: 0.000 0.500 0.164  -0.03
Pd: 0.000 0.500 0.500  -0.01
Pd: 0.000 0.500 0.836  -0.03

3.
Tm3V5Pd12: relaxed, PBE.

Computed properties:
Electronic total energy ... -5.824 eV/atom
E_form ... 242 meV per atom
Fermi-level density of states ... 22.29 states/eV/f.u.

abc: 13.015 13.015 13.015
angles: 109.47 109.47 109.47
Last column: magnetic moment on the atom in μB.
Fractional positions:
Tm: 0.750 0.375 0.125  0.09
Tm: 0.875 0.750 0.125  0.09
Tm: 0.375 0.750 0.625  0.09
Tm: 0.250 0.125 0.375  0.09
Tm: 0.875 0.125 0.250  0.09
Tm: 0.375 0.625 0.250  0.09
Tm: 0.625 0.375 0.750  0.09
Tm: 0.125 0.875 0.750  0.09
Tm: 0.750 0.875 0.625  0.09
Tm: 0.625 0.250 0.375  0.09
Tm: 0.125 0.250 0.875  0.09
Tm: 0.250 0.625 0.875  0.09
V: 0.125 0.375 0.250  1.76
V: 0.000 0.500 0.000  1.28
V: 0.000 0.000 0.000  1.28
V: 0.375 0.250 0.125  1.76
V: 0.500 0.000 0.500  1.28
V: 0.500 0.500 0.000  1.28
V: 0.125 0.750 0.375  1.76
V: 0.750 0.125 0.875  1.76
V: 0.750 0.625 0.375  1.76
V: 0.375 0.125 0.750  1.76
V: 0.625 0.875 0.250  1.76
V: 0.500 0.500 0.500  1.28
V: 0.500 0.000 0.000  1.28
V: 0.000 0.000 0.500  1.28
V: 0.250 0.375 0.625  1.76
V: 0.250 0.875 0.125  1.76
V: 0.000 0.500 0.500  1.28
V: 0.875 0.250 0.625  1.76
V: 0.625 0.750 0.875  1.76
V: 0.875 0.625 0.750  1.76
Pd: 0.718 0.130 0.052  -0.02
Pd: 0.333 0.552 0.422  -0.02
Pd: 0.948 0.370 0.282  -0.02
Pd: 0.552 0.218 0.130  -0.02
Pd: 0.588 0.718 0.667  -0.02
Pd: 0.948 0.578 0.167  -0.02
Pd: 0.333 0.782 0.412  -0.02
Pd: 0.078 0.912 0.130  -0.02
Pd: 0.578 0.948 0.667  -0.02
Pd: 0.718 0.588 0.167  -0.02
Pd: 0.782 0.448 0.370  -0.02
Pd: 0.833 0.922 0.052  -0.02
Pd: 0.130 0.718 0.552  -0.02
Pd: 0.370 0.422 0.088  -0.02
Pd: 0.088 0.922 0.370  -0.02
Pd: 0.412 0.130 0.578  -0.02
Pd: 0.088 0.167 0.218  -0.02
Pd: 0.448 0.667 0.078  -0.02
Pd: 0.833 0.912 0.282  -0.02
Pd: 0.130 0.412 0.078  -0.02
Pd: 0.370 0.948 0.782  -0.02
Pd: 0.578 0.630 0.412  -0.02
Pd: 0.922 0.833 0.552  -0.02
Pd: 0.782 0.333 0.912  -0.02
Pd: 0.422 0.370 0.588  -0.02
Pd: 0.078 0.167 0.448  -0.02
Pd: 0.218 0.667 0.088  -0.02
Pd: 0.167 0.088 0.718  -0.02
Pd: 0.630 0.052 0.218  -0.02
Pd: 0.870 0.588 0.922  -0.02
Pd: 0.552 0.333 0.922  -0.02
Pd: 0.588 0.870 0.422  -0.02
Pd: 0.912 0.833 0.782  -0.02
Pd: 0.912 0.078 0.630  -0.02
Pd: 0.870 0.282 0.448  -0.02
Pd: 0.167 0.078 0.948  -0.02
Pd: 0.630 0.578 0.912  -0.02
Pd: 0.422 0.052 0.333  -0.02
Pd: 0.282 0.412 0.833  -0.02
Pd: 0.218 0.552 0.630  -0.02
Pd: 0.922 0.088 0.870  -0.02
Pd: 0.667 0.218 0.588  -0.02
Pd: 0.448 0.782 0.870  -0.02
Pd: 0.052 0.422 0.833  -0.02
Pd: 0.412 0.282 0.333  -0.02
Pd: 0.052 0.630 0.718  -0.02
Pd: 0.667 0.448 0.578  -0.02
Pd: 0.282 0.870 0.948  -0.02

4.
TmVPd2: relaxed, PBE.

Computed properties:
Electronic total energy ... -6.438 eV/atom
E_form ... -444 meV per atom
Fermi-level density of states ... 4.64 states/eV/f.u.

abc: 3.534 4.504 4.504
angles: 90.00 90.00 90.00
Last column: magnetic moment on the atom in μB.
Fractional positions:
Tm: 0.500 0.500 0.500  0.10
Pd: 0.000 0.000 0.500  0.10
Pd: 0.000 0.500 0.000  0.10
V: 0.500 0.000 0.000  2.32

5.
TmVPd: relaxed, PBE.

Computed properties:
Electronic total energy ... -6.436 eV/atom
E_form ... -175 meV per atom
Fermi-level density of states ... 3.89 states/eV/f.u.

abc: 4.992 3.529 9.323
angles: 90.00 90.00 135.01
Fractional positions:
Pd: 0.694 0.389 0.000
Pd: 0.194 0.389 0.500
V: 0.694 0.389 0.394
V: 0.694 0.389 0.606
Tm: 0.194 0.389 0.819
Tm: 0.194 0.389 0.181

6.
Y3TmPd: relaxed, PBE.

Computed properties:
Electronic total energy ... -6.176 eV/atom
E_form ... -365 meV per atom
Fermi-level density of states ... 6.41 states/eV/f.u.

abc: 3.717 6.385 12.612
angles: 87.27 81.53 73.08
Fractional positions:
Y: 0.457 0.932 0.154
Y: 0.759 0.727 0.755
Y: 0.103 0.168 0.627
Y: 0.992 0.099 0.917
Y: 0.781 0.048 0.389
Y: 0.432 0.623 0.514
Tm: 0.110 0.502 0.278
Tm: 0.222 0.562 0.995
Pd: 0.770 0.330 0.130
Pd: 0.436 0.346 0.783

7.
Y4TmPd2: relaxed, PBE.

Computed properties:
Electronic total energy ... -6.102 eV/atom
E_form ... -286 meV per atom
Fermi-level density of states ... 7.91 states/eV/f.u.

abc: 5.197 5.197 9.060
angles: 73.33 73.33 60.00
Fractional positions:
Y: 0.710 0.710 0.870
Y: 0.886 0.886 0.341
Y: 0.290 0.290 0.130
Y: 0.114 0.114 0.659
Tm: 0.500 0.500 0.500
Pd: 0.603 0.603 0.192
Pd: 0.397 0.397 0.808

8.
Y2Tm2Pd: relaxed, PBE.

Computed properties:
Electronic total energy ... -5.681 eV/atom
E_form ... -269 meV per atom
Fermi-level density of states ... 8.21 states/eV/f.u.

abc: 7.578 7.058 7.707
angles: 73.44 57.93 57.53
Fractional positions:
Y: 0.558 0.430 0.751
Y: 0.442 0.570 0.249
Y: 0.988 0.570 0.751
Y: 0.012 0.430 0.249
Tm: 0.862 0.000 0.387
Tm: 0.624 0.000 0.118
Tm: 0.376 0.000 0.882
Tm: 0.138 0.000 0.613
Pd: 0.118 0.764 0.000
Pd: 0.882 0.236 0.000

9.
Y2Tm5Pd2: relaxed, PBE.

Computed properties:
Electronic total energy ... -5.419 eV/atom
E_form ... -344 meV per atom
Fermi-level density of states ... 12.80 states/eV/f.u.

abc: 7.070 7.012 10.658
angles: 90.00 70.63 90.00
Fractional positions:
Y: 0.232 0.000 0.536
Y: 0.732 0.500 0.536
Y: 0.768 0.000 0.464
Y: 0.268 0.500 0.464
Tm: 0.000 0.000 0.000
Tm: 0.500 0.500 0.000
Tm: 0.437 0.174 0.775
Tm: 0.788 0.826 0.775
Tm: 0.288 0.674 0.775
Tm: 0.937 0.326 0.775
Tm: 0.563 0.826 0.225
Tm: 0.212 0.174 0.225
Tm: 0.712 0.326 0.225
Tm: 0.063 0.674 0.225
Pd: 0.135 0.366 0.000
Pd: 0.865 0.634 0.000
Pd: 0.365 0.866 0.000
Pd: 0.635 0.134 0.000

10.
YTmPd: relaxed, PBE.

Computed properties:
Electronic total energy ... -5.947 eV/atom
E_form ... -571 meV per atom
Fermi-level density of states ... 2.24 states/eV/f.u.

abc: 3.526 7.061 6.579
angles: 105.62 105.52 90.02
Fractional positions:
Y: 0.301 0.483 0.369
Y: 0.577 0.621 0.920
Tm: 0.577 0.121 0.921
Tm: 0.301 0.983 0.368
Pd: 0.941 0.288 0.648
Pd: 0.937 0.816 0.641

11.
YTm3Pd4: relaxed, PBE.

Computed properties:
Electronic total energy ... -6.007 eV/atom
E_form ... -926 meV per atom
Fermi-level density of states ... 3.88 states/eV/f.u.

abc: 4.952 6.842 9.905
angles: 90.00 90.00 90.00
Fractional positions:
Y: 0.000 0.500 0.000
Y: 0.000 0.500 0.500
Tm: 0.000 0.000 0.000
Tm: 0.000 0.000 0.500
Tm: 0.500 0.000 0.750
Tm: 0.500 0.000 0.250
Tm: 0.500 0.500 0.750
Tm: 0.500 0.500 0.250
Pd: 0.500 0.755 0.000
Pd: 0.500 0.755 0.500
Pd: 0.500 0.245 0.000
Pd: 0.500 0.245 0.500
Pd: 0.000 0.754 0.750
Pd: 0.000 0.754 0.250
Pd: 0.000 0.246 0.250
Pd: 0.000 0.246 0.750

12.
Y4TmPd5: relaxed, PBE.

Computed properties:
Electronic total energy ... -6.511 eV/atom
E_form ... -882 meV per atom
Fermi-level density of states ... 8.06 states/eV/f.u.

abc: 3.476 3.476 17.859
angles: 90.00 90.00 90.00
Fractional positions:
Y: 0.000 0.000 0.198
Y: 0.000 0.000 0.399
Y: 0.000 0.000 0.601
Y: 0.000 0.000 0.802
Tm: 0.000 0.000 0.000
Pd: 0.500 0.500 0.095
Pd: 0.500 0.500 0.299
Pd: 0.500 0.500 0.500
Pd: 0.500 0.500 0.701
Pd: 0.500 0.500 0.905

13.
Y3TmPd: relaxed, PBE.

Computed properties:
Electronic total energy ... -6.085 eV/atom
E_form ... -274 meV per atom
Fermi-level density of states ... 8.35 states/eV/f.u.

abc: 7.174 7.174 7.517
angles: 104.86 114.96 106.80
Fractional positions:
Y: 0.832 0.013 0.242
Y: 0.229 0.410 0.242
Y: 0.771 0.590 0.758
Y: 0.727 0.461 0.188
Y: 0.168 0.987 0.758
Y: 0.273 0.539 0.812
Tm: 0.700 0.071 0.771
Tm: 0.300 0.929 0.229
Pd: 0.643 0.771 0.415
Pd: 0.357 0.229 0.585

14.
YTmPd4: relaxed, PBE.

Computed properties:
Electronic total energy ... -6.095 eV/atom
E_form ... -810 meV per atom
Fermi-level density of states ... 3.52 states/eV/f.u.

abc: 5.434 5.434 5.434
angles: 60.00 60.00 60.00
Fractional positions:
Y: 0.000 0.000 0.000
Tm: 0.250 0.250 0.250
Pd: 0.625 0.625 0.126
Pd: 0.625 0.126 0.625
Pd: 0.625 0.625 0.625
Pd: 0.126 0.625 0.625

15.
YTm4Pd5: relaxed, PBE.

Computed properties:
Electronic total energy ... -5.952 eV/atom
E_form ... -920 meV per atom
Fermi-level density of states ... 8.34 states/eV/f.u.

abc: 3.450 3.450 17.628
angles: 90.00 90.00 90.00
Fractional positions:
Y: 0.000 0.000 0.000
Tm: 0.000 0.000 0.202
Tm: 0.000 0.000 0.401
Tm: 0.000 0.000 0.599
Tm: 0.000 0.000 0.798
Pd: 0.500 0.500 0.105
Pd: 0.500 0.500 0.302
Pd: 0.500 0.500 0.500
Pd: 0.500 0.500 0.698
Pd: 0.500 0.500 0.895

16.
YTm2Pd8: relaxed, PBE.

Computed properties:
Electronic total energy ... -5.964 eV/atom
E_form ... -787 meV per atom
Fermi-level density of states ... 4.88 states/eV/f.u.

abc: 4.184 6.736 7.685
angles: 107.68 105.80 90.00
Fractional positions:
Y: 0.500 0.000 0.000
Tm: 0.782 0.334 0.564
Tm: 0.218 0.666 0.436
Pd: 0.407 0.546 0.814
Pd: 0.678 0.908 0.357
Pd: 0.857 0.814 0.714
Pd: 0.962 0.283 0.923
Pd: 0.143 0.186 0.286
Pd: 0.322 0.092 0.643
Pd: 0.593 0.454 0.186
Pd: 0.038 0.717 0.077

17.
Y3Tm4Pd2: relaxed, PBE.

Computed properties:
Electronic total energy ... -5.669 eV/atom
E_form ... -373 meV per atom
Fermi-level density of states ... 11.04 states/eV/f.u.

abc: 3.691 8.202 9.614
angles: 61.53 78.93 77.00
Fractional positions:
Y: 0.631 0.116 0.622
Y: 0.000 0.000 0.000
Y: 0.369 0.884 0.378
Tm: 0.320 0.319 0.040
Tm: 0.911 0.493 0.685
Tm: 0.089 0.507 0.315
Tm: 0.680 0.681 0.960
Pd: 0.742 0.231 0.285
Pd: 0.258 0.769 0.715

18.
Y2Tm3Pd4: relaxed, PBE.

Computed properties:
Electronic total energy ... -5.963 eV/atom
E_form ... -729 meV per atom
Fermi-level density of states ... 7.96 states/eV/f.u.

abc: 6.619 7.380 9.214
angles: 90.00 111.05 90.00
Fractional positions:
Y: 0.095 0.586 0.190
Y: 0.905 0.414 0.810
Y: 0.405 0.086 0.810
Y: 0.595 0.914 0.190
Tm: 0.000 0.000 0.000
Tm: 0.500 0.500 0.000
Tm: 0.518 0.750 0.536
Tm: 0.982 0.250 0.464
Tm: 0.482 0.250 0.464
Tm: 0.018 0.750 0.536
Pd: 0.683 0.750 0.867
Pd: 0.817 0.250 0.133
Pd: 0.317 0.250 0.133
Pd: 0.183 0.750 0.867
Pd: 0.168 0.962 0.335
Pd: 0.832 0.038 0.665
Pd: 0.332 0.462 0.665
Pd: 0.668 0.538 0.335

19.
Y3Tm4Pd4: relaxed, PBE.

Computed properties:
Electronic total energy ... -5.899 eV/atom
E_form ... -622 meV per atom
Fermi-level density of states ... 11.49 states/eV/f.u.

abc: 3.808 8.922 9.371
angles: 118.43 101.72 90.00
Fractional positions:
Y: 0.103 0.103 0.206
Y: 0.897 0.897 0.794
Y: 0.000 0.500 0.000
Tm: 0.335 0.149 0.670
Tm: 0.665 0.478 0.330
Tm: 0.665 0.851 0.330
Tm: 0.335 0.522 0.670
Pd: 0.249 0.749 0.499
Pd: 0.751 0.251 0.501
Pd: 0.500 0.802 0.000
Pd: 0.500 0.198 0.000